{"formula": "Th2CdCo", "functional": "PBE-GGA", "state": "relaxed", "lattice": [[1.912, 1.104, 9.944], [-1.912, 1.104, 9.944], [0.000, -2.207, 9.944]], "species": ["Th", "Th", "Cd", "Co"], "fractional_positions": [[0.115, 0.115, 0.115], [0.885, 0.885, 0.885], [0.000, 0.000, 0.000], [0.500, 0.500, 0.500]], "sg": "R-3m (166)", "polymorph_energy_kj_per_mol_atoms": 22.7, "formation_enthalpy_0k_ev_per_atom": 0.09, "n_ef_per_ev_cell": 4.612, "m_tot_mub_per_cell": 0.000}

{"formula": "CeEr2ThBi4", "functional": "PBE-GGA", "state": "relaxed", "lattice": [[7.816, 0.000, 0.000], [0.000, 4.531, 0.000], [-2.620, 0.000, 7.396]], "species": ["Ce", "Er", "Er", "Th", "Bi", "Bi", "Bi", "Bi"], "fractional_positions": [[0.000, 0.000, 0.000], [0.500, 0.000, 0.500], [0.500, 0.500, 0.000], [0.000, 0.500, 0.500], [0.260, 0.500, 0.253], [0.261, 0.000, 0.754], [0.739, 0.000, 0.246], [0.740, 0.500, 0.747]], "sg": "P2/m (10)", "formation_enthalpy_0k_ev_per_atom": -0.75, "n_ef_per_ev_cell": 9.109, "m_tot_mub_per_cell": 0.995}

{"formula": "LaTlMo2", "functional": "PBE-GGA", "state": "relaxed", "lattice": [[3.132, -4.870, 0.000], [3.132, 4.870, 0.000], [-1.227, 0.000, 2.746]], "species": ["La", "Tl", "Mo", "Mo"], "fractional_positions": [[0.000, 0.000, 0.000], [0.500, 0.500, 0.000], [0.000, 0.500, 0.500], [0.500, 0.000, 0.500]], "sg": "C2/m (12)", "polymorph_energy_kj_per_mol_atoms": 52.4, "formation_enthalpy_0k_ev_per_atom": 0.74, "n_ef_per_ev_cell": 5.580, "m_tot_mub_per_cell": 0.000}

{"formula": "Zr2TiTl", "functional": "PBE-GGA", "state": "relaxed", "lattice": [[-3.952, 3.952, 2.906], [3.952, -3.952, 2.906], [3.952, 3.952, -2.906]], "species": ["Zr", "Zr", "Zr", "Zr", "Ti", "Ti", "Tl", "Tl"], "fractional_positions": [[0.120, 0.125, 0.495], [0.375, 0.880, 0.005], [0.630, 0.625, 0.505], [0.875, 0.370, 0.995], [0.000, 0.000, 0.000], [0.750, 0.250, 0.500], [0.250, 0.750, 0.500], [0.500, 0.500, 0.000]], "sg": "I-42d (122)", "polymorph_energy_kj_per_mol_atoms": 44.0, "formation_enthalpy_0k_ev_per_atom": 0.41, "n_ef_per_ev_cell": 8.279, "m_tot_mub_per_cell": 0.000}